Entry 1:
Compound: TcSCl2O
Source: Alexandria via LeMat-Bulk
Functional: PBE-GGA
Structure: relaxed

Geometry as CIF:
```
data_TcSCl2O
_cell_length_a 4.806
_cell_length_b 4.806
_cell_length_c 4.478
_cell_angle_alpha 90.00
_cell_angle_beta 90.00
_cell_angle_gamma 90.00
_symmetry_space_group_name_H-M 'P 1'
_symmetry_Int_Tables_number 1
_symmetry_space_group_name_Hall 'P 1'
loop_
_atom_site_label
_atom_site_type_symbol
_atom_site_fract_x
_atom_site_fract_y
_atom_site_fract_z
_atom_site_occupancy
S1 S 0.000 0.000 0.500 1
Tc1 Tc 0.000 0.000 0.000 1
O1 O 0.500 0.500 0.500 1
Cl1 Cl 0.000 0.500 0.000 1
Cl2 Cl 0.500 0.000 0.000 1
```

## Properties
ΔE to the lowest computed polymorph = 0.000 eV per formula unit
symmetry = P4/mmm (123)
Fermi-level density of states = 1.749 states/eV per atom
final energy = -4.08 eV per atom


Entry 2:
Compound: TeS2ClO8
Source: Alexandria via LeMat-Bulk
Functional: PBE-GGA
Structure: relaxed

Geometry as CIF:
```
data_TeS2ClO8
_cell_length_a 5.058
_cell_length_b 5.058
_cell_length_c 9.262
_cell_angle_alpha 87.18
_cell_angle_beta 87.18
_cell_angle_gamma 65.69
_symmetry_space_group_name_H-M 'P 1'
_symmetry_Int_Tables_number 1
_symmetry_space_group_name_Hall 'P 1'
loop_
_atom_site_label
_atom_site_type_symbol
_atom_site_fract_x
_atom_site_fract_y
_atom_site_fract_z
_atom_site_occupancy
Te1 Te 0.000 0.000 0.000 1
S1 S 0.634 0.634 0.182 1
S2 S 0.366 0.366 0.818 1
Cl1 Cl 0.000 0.000 0.500 1
O1 O 0.693 0.251 0.834 1
O2 O 0.747 0.747 0.047 1
O3 O 0.710 0.710 0.315 1
O4 O 0.290 0.290 0.685 1
O5 O 0.253 0.253 0.953 1
O6 O 0.251 0.693 0.834 1
O7 O 0.749 0.307 0.166 1
O8 O 0.307 0.749 0.166 1
```

## Properties
symmetry = C2/m (12)
Fermi-level density of states = 0.026 states/eV per atom
final energy = -5.28 eV per atom


Entry 3:
Compound: TiSCl2O
Source: Alexandria via LeMat-Bulk
Functional: PBE-GGA
Structure: relaxed

Geometry as CIF:
```
data_TiSCl2O
_cell_length_a 4.824
_cell_length_b 4.824
_cell_length_c 4.650
_cell_angle_alpha 90.00
_cell_angle_beta 90.00
_cell_angle_gamma 90.00
_symmetry_space_group_name_H-M 'P 1'
_symmetry_Int_Tables_number 1
_symmetry_space_group_name_Hall 'P 1'
loop_
_atom_site_label
_atom_site_type_symbol
_atom_site_fract_x
_atom_site_fract_y
_atom_site_fract_z
_atom_site_occupancy
S1 S 0.000 0.000 0.500 1
Cl1 Cl 0.000 0.500 0.000 1
Cl2 Cl 0.500 0.000 0.000 1
O1 O 0.500 0.500 0.500 1
Ti1 Ti 0.000 0.000 0.000 1
```

## Properties
ΔE to the lowest computed polymorph = 0.000 eV per formula unit
symmetry = P4/mmm (123)
Fermi-level density of states = 0.241 states/eV per atom
final energy = -4.46 eV per atom


Entry 4:
Compound: TiS2ClO8
Source: Alexandria via LeMat-Bulk
Functional: PBE-GGA
Structure: relaxed

Geometry as CIF:
```
data_TiS2ClO8
_cell_length_a 4.973
_cell_length_b 4.973
_cell_length_c 9.470
_cell_angle_alpha 76.61
_cell_angle_beta 76.61
_cell_angle_gamma 63.10
_symmetry_space_group_name_H-M 'P 1'
_symmetry_Int_Tables_number 1
_symmetry_space_group_name_Hall 'P 1'
loop_
_atom_site_label
_atom_site_type_symbol
_atom_site_fract_x
_atom_site_fract_y
_atom_site_fract_z
_atom_site_occupancy
Ti1 Ti 0.000 0.000 0.000 1
S1 S 0.597 0.597 0.181 1
S2 S 0.403 0.403 0.819 1
Cl1 Cl 0.000 0.000 0.500 1
O1 O 0.723 0.260 0.855 1
O2 O 0.764 0.764 0.069 1
O3 O 0.607 0.607 0.329 1
O4 O 0.393 0.393 0.671 1
O5 O 0.236 0.236 0.931 1
O6 O 0.260 0.723 0.855 1
O7 O 0.740 0.277 0.145 1
O8 O 0.277 0.740 0.145 1
```

## Properties
symmetry = C2/m (12)
final energy = -6.26 eV per atom


Entry 5:
Compound: Ti4S8Cl6O
Source: Alexandria via LeMat-Bulk
Functional: PBE-GGA
Structure: relaxed

Geometry as CIF:
```
data_Ti4S8Cl6O
_cell_length_a 9.973
_cell_length_b 9.973
_cell_length_c 13.372
_cell_angle_alpha 81.34
_cell_angle_beta 81.34
_cell_angle_gamma 119.78
_symmetry_space_group_name_H-M 'P 1'
_symmetry_Int_Tables_number 1
_symmetry_space_group_name_Hall 'P 1'
loop_
_atom_site_label
_atom_site_type_symbol
_atom_site_fract_x
_atom_site_fract_y
_atom_site_fract_z
_atom_site_occupancy
Ti1 Ti 0.126 0.764 0.151 1
Ti2 Ti 0.802 0.868 0.790 1
Ti3 Ti 0.868 0.802 0.290 1
Ti4 Ti 0.874 0.236 0.849 1
Ti5 Ti 0.764 0.126 0.651 1
Ti6 Ti 0.132 0.198 0.710 1
Ti7 Ti 0.198 0.132 0.210 1
Ti8 Ti 0.236 0.874 0.349 1
S1 S 0.862 0.727 0.127 1
S2 S 0.074 0.953 0.823 1
S3 S 0.442 0.148 0.258 1
S4 S 0.953 0.074 0.323 1
S5 S 0.138 0.273 0.873 1
S6 S 0.170 0.622 0.292 1
S7 S 0.047 0.926 0.677 1
S8 S 0.273 0.138 0.373 1
S9 S 0.622 0.170 0.792 1
S10 S 0.926 0.047 0.177 1
S11 S 0.148 0.442 0.758 1
S12 S 0.830 0.378 0.708 1
S13 S 0.378 0.830 0.208 1
S14 S 0.727 0.862 0.627 1
S15 S 0.852 0.558 0.242 1
S16 S 0.558 0.852 0.742 1
Cl1 Cl 0.269 0.056 0.044 1
Cl2 Cl 0.056 0.269 0.544 1
Cl3 Cl 0.319 0.819 0.486 1
Cl4 Cl 0.819 0.319 0.986 1
Cl5 Cl 0.318 0.391 0.130 1
Cl6 Cl 0.681 0.181 0.514 1
Cl7 Cl 0.609 0.682 0.370 1
Cl8 Cl 0.944 0.731 0.456 1
Cl9 Cl 0.682 0.609 0.870 1
Cl10 Cl 0.181 0.681 0.014 1
Cl11 Cl 0.391 0.318 0.630 1
Cl12 Cl 0.731 0.944 0.956 1
O1 O 0.893 0.107 0.750 1
O2 O 0.107 0.893 0.250 1
```

## Properties
symmetry = C2/c (15)
final energy = -5.54 eV per atom


Entry 6:
Compound: TiSCl2O
Source: Alexandria via LeMat-Bulk
Functional: PBE-GGA
Structure: relaxed

Geometry as CIF:
```
data_TiSCl2O
_cell_length_a 4.429
_cell_length_b 4.429
_cell_length_c 4.298
_cell_angle_alpha 90.00
_cell_angle_beta 90.00
_cell_angle_gamma 90.00
_symmetry_space_group_name_H-M 'P 1'
_symmetry_Int_Tables_number 1
_symmetry_space_group_name_Hall 'P 1'
loop_
_atom_site_label
_atom_site_type_symbol
_atom_site_fract_x
_atom_site_fract_y
_atom_site_fract_z
_atom_site_occupancy
S1 S 0.000 0.000 0.500 1
Cl1 Cl 0.000 0.500 0.000 1
Cl2 Cl 0.500 0.000 0.000 1
O1 O 0.000 0.000 0.000 1
Ti1 Ti 0.500 0.500 0.500 1
```

## Properties
ΔE to the lowest computed polymorph = 3.255 eV per formula unit
symmetry = P4/mmm (123)
Fermi-level density of states = 0.597 states/eV per atom
final energy = -3.81 eV per atom


Q: Among the records above, which one has the highest final energy?
A: number 6


Q: What is the formula in the fourth record?
A: TiS2ClO8